Entry from Alexandria via LeMat-Bulk: a geometry-optimized SiW2Au structure (GGA-PBE).

The calculation puts the density of states at the Fermi level at 4.10 states/eV/cell. The total magnetization comes out at 0.000 μB per cell. For the uncorrected formation energy, the calculation gives 0.273 eV per atom.

The structure belongs to space group Cmm2 (No. 35); the cell edges are 3.3213, 4.5187 and 8.5905 Å and the angles 90.00°, 90.00° and 90.00°. The inequivalent atoms are Si at (0.0000, 0.0000, 0.0000), W at (0.0000, 0.0000, 0.5226), W at (0.0000, 0.5000, 0.7734) and Au at (0.0000, 0.5000, 0.2516).